1.
First-principles (PBE) data for a geometry-optimized Ca3Hg2BRh3 structure, as listed in the Alexandria database.

Summary:
As for the total DFT energy (no corrections): -38.50 eV for the cell shown. The space-group type is P-62m. The formation energy is -0.35 eV per atom. As for the total moment: 0.00 μB per cell.

Cell lengths 3.3602, 7.7602, 7.7602 Å; angles 120.00, 90.00, 90.00 degrees
Closest atoms and distances in Å follow each position.
Positions (direct):
B1 0.0000 0.0000 0.0000  6 Rh 2.32
Hg1 0.5000 0.3333 0.6667  6 Ca 3.02, 3 Rh 3.19, 2 Hg 3.36
Hg2 0.5000 0.6667 0.3333  6 Ca 3.02, 3 Rh 3.19, 2 Hg 3.36
Ca1 0.0000 0.0000 0.3546  1 B 2.75, 4 Rh 2.92, 4 Hg 3.02
Ca2 0.0000 0.3546 0.0000  1 B 2.75, 4 Rh 2.92, 4 Hg 3.02
Ca3 0.0000 0.6454 0.6454  1 B 2.75, 4 Rh 2.92, 4 Hg 3.02
Rh1 0.5000 0.2067 0.2067  2 B 2.32
Rh2 0.5000 0.7933 0.0000  2 B 2.32
Rh3 0.5000 0.0000 0.7933  2 B 2.32


2.
First-principles (PBE) data for a geometry-optimized La2YAs structure, as listed in the Alexandria database.

Summary:
As for the total DFT energy (no corrections): -22.77 eV for the cell shown. The space-group type is I-4m2. The formation energy is -0.45 eV per atom. As for the total moment: 0.00 μB per cell.

Cell lengths 6.0709, 6.0709, 6.0709 Å; angles 134.58, 134.58, 66.18 degrees
Closest atoms and distances in Å follow each position.
Positions (direct):
Y1 0.5000 0.5000 0.0000  8 La 3.31-3.46, 4 As 3.46
As1 0.7500 0.2500 0.5000  8 La 3.31-3.46, 4 Y 3.46
La1 0.0000 0.0000 0.0000  4 Y 3.31, 4 As 3.46, 4 La 3.46
La2 0.2500 0.7500 0.5000  4 As 3.31, 4 La 3.46, 4 Y 3.46


3.
First-principles (PBE) data for a geometry-optimized K2Cd3GaBi4 structure, as listed in the Alexandria database.

Summary:
As for the total DFT energy (no corrections): -25.35 eV for the cell shown. The space-group type is P-4m2. The formation energy is -0.19 eV per atom. As for the total moment: 0.00 μB per cell.

Cell lengths 5.3080, 5.3080, 11.9086 Å; angles 90.00, 90.00, 90.00 degrees
Closest atoms and distances in Å follow each position.
Positions (direct):
Ga1 0.5000 0.5000 0.5000  4 Bi 3.02
Cd1 0.0000 0.5000 0.1326  5 Bi 2.94-3.09
Cd2 0.0000 0.0000 0.5000  4 Bi 3.02
Cd3 0.5000 0.0000 0.8674  5 Bi 2.94-3.09
K1 0.0000 0.5000 0.7464  2 Ga 3.96, 6 Cd 3.96-4.02, 9 Bi 4.02-4.37
K2 0.5000 0.0000 0.2536  2 Ga 3.96, 6 Cd 3.96-4.02, 9 Bi 4.02-4.37
Bi1 0.0000 0.5000 0.3796  3 Cd 2.94-3.02, 2 Ga 3.02
Bi2 0.5000 0.0000 0.6204  3 Cd 2.94-3.02, 2 Ga 3.02
Bi3 0.5000 0.5000 0.0000  4 Cd 3.09
Bi4 0.0000 0.0000 0.0000  4 Cd 3.09


4.
First-principles (PBE) data for a geometry-optimized Li4NdDy3Te8 structure, as listed in the Alexandria database.

Summary:
As for the total DFT energy (no corrections): -72.02 eV for the cell shown. The space-group type is R-3m. The uncorrected formation energy comes out at -1.291 eV per atom. As for the total moment: 0.00 μB per cell.

Cell lengths 8.7484, 8.6945, 8.7467 Å; angles 120.24, 120.01, 90.00 degrees
Closest atoms and distances in Å follow each position.
Positions (direct):
Li1 0.0000 0.0000 0.0000  6 Te 3.06-3.07
Li2 0.5000 0.0000 0.5000  6 Te 3.07
Li3 0.0000 0.0000 0.5000  6 Te 3.07
Li4 0.5000 0.0000 0.0000  6 Te 3.01
Te1 0.7515 0.7540 0.5029  3 Li 3.06-3.07, 3 Dy 3.10
Te2 0.7439 0.2422 0.4878  3 Li 3.01-3.07, 2 Dy 3.09, 1 Nd 3.16
Te3 0.2541 0.2422 0.9979  3 Li 3.01-3.07, 2 Dy 3.09, 1 Nd 3.16
Te4 0.2485 0.2460 0.4971  3 Li 3.06-3.07, 3 Dy 3.10
Te5 0.2561 0.7578 0.0021  3 Li 3.01-3.07, 2 Dy 3.09, 1 Nd 3.16
Te6 0.7439 0.2422 0.9979  3 Li 3.01-3.07, 2 Dy 3.09, 1 Nd 3.16
Te7 0.2561 0.7578 0.5122  3 Li 3.01-3.07, 2 Dy 3.09, 1 Nd 3.16
Te8 0.7459 0.7578 0.0021  3 Li 3.01-3.07, 2 Dy 3.09, 1 Nd 3.16
Dy1 0.0000 0.5000 0.5000  6 Te 3.09-3.10
Dy2 0.5000 0.5000 0.5000  6 Te 3.09-3.10
Dy3 0.5000 0.5000 0.0000  6 Te 3.09-3.10
Nd1 0.0000 0.5000 0.0000  6 Te 3.16


5.
First-principles (PBE) data for a geometry-optimized PrMg4Ge2 structure, as listed in the Alexandria database.

Summary:
As for the total DFT energy (no corrections): -46.05 eV for the cell shown. The space-group type is P4_2/mnm. The formation energy is -0.38 eV per atom. As for the total moment: 0.00 μB per cell.

Cell lengths 4.2981, 8.5044, 8.5044 Å; angles 90.00, 90.00, 90.00 degrees
Closest atoms and distances in Å follow each position.
Positions (direct):
Ge1 0.0000 0.7987 0.2013  6 Mg 2.77-2.79
Ge2 0.0000 0.2013 0.7987  6 Mg 2.77-2.79
Ge3 0.5000 0.2987 0.2987  6 Mg 2.77-2.79
Ge4 0.5000 0.7013 0.7013  6 Mg 2.77-2.79
Mg1 0.0000 0.0931 0.3401  3 Ge 2.77-2.79, 5 Mg 2.97-3.09
Mg2 0.5000 0.1599 0.5931  3 Ge 2.77-2.79, 5 Mg 2.97-3.09
Mg3 0.0000 0.9069 0.6599  3 Ge 2.77-2.79, 5 Mg 2.97-3.09
Mg4 0.0000 0.3401 0.0931  3 Ge 2.77-2.79, 5 Mg 2.97-3.09
Mg5 0.5000 0.4069 0.8401  3 Ge 2.77-2.79, 5 Mg 2.97-3.09
Mg6 0.5000 0.5931 0.1599  3 Ge 2.77-2.79, 5 Mg 2.97-3.09
Mg7 0.5000 0.8401 0.4069  3 Ge 2.77-2.79, 5 Mg 2.97-3.09
Mg8 0.0000 0.6599 0.9069  3 Ge 2.77-2.79, 5 Mg 2.97-3.09
Pr1 0.0000 0.5000 0.5000  6 Ge 3.24-3.59
Pr2 0.5000 0.0000 0.0000  6 Ge 3.24-3.59


6.
First-principles (PBE) data for a geometry-optimized Nd4TeRu structure, as listed in the Alexandria database.

Summary:
For the energy above the most stable polymorph in this dataset, the calculation gives 39 kJ/mol of formula units. As for the total DFT energy (no corrections): -68.66 eV for the cell shown. The space-group type is C2/c. The uncorrected formation energy comes out at -0.473 eV per atom. As for the total moment: 0.00 μB per cell.

Cell lengths 7.0069, 7.9608, 8.7366 Å; angles 111.40, 107.34, 103.07 degrees
Closest atoms and distances in Å follow each position.
Positions (direct):
Ru1 0.8311 0.0811 0.1621  6 Nd 2.73-2.83
Ru2 0.1689 0.9189 0.8379  6 Nd 2.73-2.83
Nd1 0.5381 0.2636 0.0876  2 Ru 2.83
Nd2 0.6938 0.0707 0.4208  1 Ru 2.73
Nd3 0.2270 0.3501 0.4208  1 Ru 2.73
Nd4 0.9505 0.1759 0.9124  2 Ru 2.83
Nd5 0.3062 0.9293 0.5792  1 Ru 2.73
Nd6 0.7730 0.6499 0.5792  1 Ru 2.73
Nd7 0.0495 0.8241 0.0876  2 Ru 2.83
Nd8 0.4619 0.7364 0.9124  2 Ru 2.83
Te1 0.3638 0.6138 0.2276  8 Nd 3.27-3.43
Te2 0.6362 0.3862 0.7724  8 Nd 3.27-3.43


7.
First-principles (PBE) data for a geometry-optimized ScCdCl3 structure, as listed in the Alexandria database.

Summary:
As for the total DFT energy (no corrections): -19.67 eV for the cell shown. The space-group type is Pm-3m. The uncorrected formation energy comes out at -1.376 eV per atom. As for the total moment: 0.00 μB per cell.

Cell lengths 5.0802, 5.0802, 5.0802 Å; angles 90.00, 90.00, 90.00 degrees
Closest atoms and distances in Å follow each position.
Positions (direct):
Cd1 0.5000 0.5000 0.5000  12 Cl 3.59
Cl1 0.0000 0.5000 0.0000  2 Sc 2.54
Cl2 0.0000 0.0000 0.5000  2 Sc 2.54
Cl3 0.5000 0.0000 0.0000  2 Sc 2.54
Sc1 0.0000 0.0000 0.0000  6 Cl 2.54


8.
First-principles (PBE) data for a geometry-optimized Th3SnGe structure, as listed in the Alexandria database.

Summary:
As for the total DFT energy (no corrections): -64.15 eV for the cell shown. The space-group type is P-1. The formation energy is -0.24 eV per atom. As for the total moment: 0.00 μB per cell.

Cell lengths 7.3205, 7.3068, 8.1619 Å; angles 63.37, 63.33, 60.01 degrees
Closest atoms and distances in Å follow each position.
Positions (direct):
Th1 0.3826 0.1247 0.7301  2 Ge 2.95-3.02, 2 Sn 3.16-3.18
Th2 0.1249 0.7615 0.7296  2 Ge 2.95-3.02, 2 Sn 3.16-3.17
Th3 0.8751 0.2385 0.2704  2 Ge 2.95-3.02, 2 Sn 3.16-3.17
Th4 0.7624 0.3828 0.7300  2 Ge 2.95-3.02, 2 Sn 3.16-3.17
Th5 0.6174 0.8753 0.2699  2 Ge 2.95-3.02, 2 Sn 3.16-3.18
Th6 0.2376 0.6172 0.2700  2 Ge 2.95-3.02, 2 Sn 3.16-3.17
Ge1 0.1799 0.1792 0.4613  6 Th 2.95-3.02, 1 Sn 2.99
Ge2 0.8201 0.8208 0.5387  6 Th 2.95-3.02, 1 Sn 2.99
Sn1 0.3222 0.3220 0.0337  1 Ge 2.99, 6 Th 3.16-3.18
Sn2 0.6778 0.6780 0.9663  1 Ge 2.99, 6 Th 3.16-3.18